*A*
{"formula": "ZrSiOF2", "functional": "PBE", "state": "relaxed", "sg": "P4/mmm, No. 123", "m_tot_mub_per_fu": 0.1, "cell": [[4.358, 0.000, 0.000], [0.000, 4.358, 0.000], [0.000, 0.000, 4.092]], "species": ["Si", "O", "Zr", "F", "F"], "frac_coords": [[0.500, 0.500, 0.500], [0.000, 0.000, 0.500], [0.000, 0.000, 0.000], [0.000, 0.500, 0.000], [0.500, 0.000, 0.000]]}

*B*
{"formula": "ZrSiOF2", "functional": "PBE", "state": "relaxed", "sg": "P4/mmm, No. 123", "m_tot_mub_per_fu": 1.0, "cell": [[4.597, 0.000, 0.000], [0.000, 4.597, 0.000], [0.000, 0.000, 3.345]], "species": ["Si", "O", "Zr", "F", "F"], "frac_coords": [[0.000, 0.000, 0.000], [0.000, 0.000, 0.500], [0.500, 0.500, 0.500], [0.000, 0.500, 0.000], [0.500, 0.000, 0.000]]}

Of them, *A* has the highest stability.

*A*
{"formula": "Sn3O2F2", "functional": "PBE", "state": "relaxed", "sg": "Pnma, No. 62", "m_tot_mub_per_fu": 0.0, "cell": [[-1.142, 2.219, 5.005], [0.218, -6.212, 2.803], [15.620, 1.797, 2.766]], "species": ["Sn", "Sn", "Sn", "Sn", "Sn", "Sn", "Sn", "Sn", "Sn", "Sn", "Sn", "Sn", "O", "O", "O", "O", "O", "O", "O", "O", "F", "F", "F", "F", "F", "F", "F", "F"], "frac_coords": [[0.250, 0.160, 0.034], [0.250, 0.671, 0.100], [0.750, 0.012, 0.176], [0.250, 0.512, 0.324], [0.750, 0.171, 0.400], [0.750, 0.660, 0.466], [0.250, 0.340, 0.534], [0.250, 0.829, 0.600], [0.750, 0.488, 0.676], [0.250, 0.988, 0.824], [0.750, 0.329, 0.900], [0.750, 0.840, 0.966], [0.500, 0.913, 0.079], [0.000, 0.913, 0.079], [0.000, 0.413, 0.421], [0.500, 0.413, 0.421], [0.500, 0.587, 0.579], [0.000, 0.587, 0.579], [0.000, 0.087, 0.921], [0.500, 0.087, 0.921], [0.750, 0.350, 0.031], [0.250, 0.234, 0.273], [0.750, 0.734, 0.227], [0.250, 0.850, 0.469], [0.750, 0.150, 0.531], [0.250, 0.266, 0.773], [0.750, 0.766, 0.727], [0.250, 0.650, 0.969]]}

*B*
{"formula": "Sn3O2F2", "functional": "PBE", "state": "relaxed", "sg": "P2_1/c, No. 14", "m_tot_mub_per_fu": 0.0, "cell": [[5.978, 0.000, 0.604], [0.000, 7.716, 0.000], [3.434, 0.000, 6.178]], "species": ["Sn", "Sn", "Sn", "Sn", "Sn", "Sn", "O", "O", "O", "O", "F", "F", "F", "F"], "frac_coords": [[0.500, 0.500, 0.000], [0.000, 0.000, 0.000], [0.677, 0.016, 0.656], [0.823, 0.516, 0.344], [0.177, 0.484, 0.656], [0.323, 0.984, 0.344], [0.509, 0.411, 0.665], [0.991, 0.911, 0.335], [0.009, 0.089, 0.665], [0.491, 0.589, 0.335], [0.136, 0.710, 0.856], [0.636, 0.790, 0.856], [0.364, 0.210, 0.144], [0.864, 0.290, 0.144]]}

*C*
{"formula": "Sn3O2F2", "functional": "PBE", "state": "relaxed", "sg": "Pnma, No. 62", "m_tot_mub_per_fu": 0.0, "cell": [[-1.724, -1.132, 5.081], [-8.256, -2.383, -3.333], [3.849, -11.561, -1.269]], "species": ["Sn", "Sn", "Sn", "Sn", "Sn", "Sn", "Sn", "Sn", "Sn", "Sn", "Sn", "Sn", "O", "O", "O", "O", "O", "O", "O", "O", "F", "F", "F", "F", "F", "F", "F", "F"], "frac_coords": [[0.250, 0.706, 0.084], [0.250, 0.092, 0.069], [0.750, 0.868, 0.218], [0.250, 0.368, 0.282], [0.750, 0.592, 0.431], [0.750, 0.206, 0.416], [0.250, 0.794, 0.584], [0.250, 0.408, 0.569], [0.750, 0.632, 0.718], [0.250, 0.132, 0.782], [0.750, 0.908, 0.931], [0.750, 0.294, 0.916], [0.003, 0.898, 0.080], [0.497, 0.898, 0.080], [0.503, 0.398, 0.420], [0.997, 0.398, 0.420], [0.003, 0.602, 0.580], [0.497, 0.602, 0.580], [0.503, 0.102, 0.920], [0.997, 0.102, 0.920], [0.750, 0.655, 0.158], [0.750, 0.236, 0.248], [0.250, 0.736, 0.252], [0.250, 0.155, 0.342], [0.750, 0.845, 0.658], [0.750, 0.264, 0.748], [0.250, 0.764, 0.752], [0.250, 0.345, 0.842]]}

Of them, *C* has the highest stability.